## LaSm4Ho3Te8 (PBE)

Data for LaSm4Ho3Te8 after structural relaxation.

POSCAR file:
```
LaSm4Ho3Te8
1.0
-5.8684 5.7540 3.2324
-5.4238 -6.6974 2.0753
8.3119 0.0210 2.9882
La Sm Ho Te
1 4 3 8
direct
0.0000 0.5000 0.0000
0.5000 0.0000 0.0000
0.5000 0.0000 0.5000
0.0000 0.0000 0.0000
0.0000 0.0000 0.5000
0.5000 0.5000 0.0000
0.5000 0.5000 0.5000
0.0000 0.5000 0.5000
0.2529 0.7462 0.9933
0.2529 0.7462 0.5058
0.2533 0.2598 0.5065
0.7404 0.7462 0.9933
0.2596 0.2538 0.0067
0.7467 0.7402 0.4935
0.7471 0.2538 0.4942
0.7471 0.2538 0.0067
```

Computed properties:
uncorrected formation energy: -1351 meV/atom
theoretical density: 7.65 Mg/m³

## NaNd2Ru (PBE)

Data for NaNd2Ru after structural relaxation.

POSCAR file:
```
NaNd2Ru
1.0
-1.7901 -2.9720 -0.4655
3.0009 -1.8020 -0.0355
-0.5780 -1.1511 9.5726
Ru Nd Na
1 2 1
direct
0.5000 0.5000 0.0000
0.0000 0.0000 0.8226
0.0000 0.0000 0.1774
0.5000 0.5000 0.5000
```

Computed properties:
energy above the lowest structure with this stoichiometry: 0.00 kcal/mol of atoms
theoretical density: 5.79 Mg/m³

## NaSnB (PBE)

Data for NaSnB after structural relaxation.

POSCAR file:
```
NaSnB
1.0
8.6363 0.0000 0.0004
4.9492 1.8238 -4.1693
-4.9492 1.8238 4.1693
Na B Sn
2 2 2
direct
0.4036 0.2015 0.7985
0.8692 0.6116 0.3883
0.9710 0.9006 0.0994
0.1397 0.7153 0.2847
0.8479 0.3612 0.6388
0.4172 0.4448 0.5552
```

Computed properties:
total energy: -3.661 eV per atom
theoretical density: 3.86 Mg/m³

## NdMg9Cu3 (PBE)

Data for NdMg9Cu3 after structural relaxation.

POSCAR file:
```
NdMg9Cu3
1.0
5.0193 -0.0092 2.0374
2.4092 6.9234 0.9779
-0.1210 -0.0046 7.4997
Nd Mg Cu
1 9 3
direct
0.0000 0.0000 0.0000
0.7037 0.7902 0.7784
0.2963 0.2098 0.2216
0.5178 0.2098 0.7784
0.4822 0.7902 0.2216
0.6564 0.3336 0.3572
0.3436 0.6664 0.6428
0.9864 0.6664 0.3572
0.0136 0.3336 0.6428
0.0000 0.5000 0.0000
0.5000 0.5000 0.0000
0.0000 0.0000 0.5000
0.5000 0.0000 0.5000
```

Computed properties:
total energy: -2.511 eV per atom
theoretical density: 3.50 Mg/m³

## AcHoTlGe (PBE)

Data for AcHoTlGe after structural relaxation.

POSCAR file:
```
AcHoTlGe
1.0
-3.5986 -3.2502 -2.5110
-0.3601 -5.2670 1.3959
-4.3863 -1.8157 2.6986
Ac Ge Tl Ho
1 1 1 1
direct
0.5000 0.5000 0.5000
0.2500 0.2500 0.2500
0.7500 0.7500 0.7500
0.0000 0.0000 0.0000
```

Computed properties:
total energy: -4.297 eV per atom
theoretical density: 9.65 Mg/m³

## SmVPb (PBE)

Data for SmVPb after structural relaxation.

POSCAR file:
```
SmVPb
1.0
3.5927 1.3173 -1.7394
2.0037 5.2478 -2.0447
-2.6826 -4.8156 11.2034
V Sm Pb
2 2 2
direct
0.1828 0.0750 0.7155
0.1964 0.5759 0.7177
0.3465 0.7309 0.3720
0.0328 0.9199 0.0612
0.4583 0.3418 0.4827
0.9210 0.3090 0.9505
```

Computed properties:
total energy: -5.866 eV per atom
theoretical density: 9.30 Mg/m³

## SmDyTh2Se4 (PBE)

Data for SmDyTh2Se4 after structural relaxation.

POSCAR file:
```
SmDyTh2Se4
1.0
-3.6270 -1.8987 -0.5328
1.4224 -4.2458 5.4481
-3.5217 6.0258 2.5004
Sm Dy Th Se
1 1 2 4
direct
0.0000 0.0000 0.0000
0.5000 0.5000 0.0000
0.5000 0.0000 0.5000
0.0000 0.5000 0.5000
0.5000 0.2508 0.2400
0.5000 0.7492 0.7600
0.0000 0.2581 0.7627
0.0000 0.7419 0.2373
```

Computed properties:
uncorrected formation energy: -1649 meV/atom
theoretical density: 8.89 Mg/m³

## VZnAu2 (PBE)

Data for VZnAu2 after structural relaxation.

POSCAR file:
```
VZnAu2
1.0
3.9202 0.0000 0.0000
0.0000 3.9202 0.0000
1.9601 1.9601 9.4843
Zn Au V
2 4 2
direct
0.0000 0.0000 0.0000
0.7500 0.2500 0.5000
0.6281 0.1250 0.2500
0.1219 0.6250 0.2500
0.3750 0.3719 0.7500
0.8750 0.8781 0.7500
0.5000 0.5000 0.0000
0.2500 0.7500 0.5000
```

Computed properties:
total energy: -3.937 eV per atom
theoretical density: 11.63 Mg/m³

## RbAsRhPb (PBE)

Data for RbAsRhPb after structural relaxation.

POSCAR file:
```
RbAsRhPb
1.0
4.2691 0.0000 0.0000
0.0000 4.2691 0.0000
0.0000 0.0000 13.3336
Rb As Rh Pb
2 2 2 2
direct
0.7500 0.7500 0.2396
0.2500 0.2500 0.7604
0.7500 0.7500 0.9049
0.2500 0.2500 0.0951
0.7500 0.2500 0.0000
0.2500 0.7500 0.0000
0.2500 0.7500 0.5000
0.7500 0.2500 0.5000
```

Computed properties:
total energy: -4.496 eV per atom
theoretical density: 6.43 Mg/m³

## Zn2FePd9 (PBE)

Data for Zn2FePd9 after structural relaxation.

POSCAR file:
```
Zn2FePd9
1.0
-1.0214 2.8083 2.5204
0.6039 -2.4558 2.9810
11.1510 3.4973 0.6220
Zn Fe Pd
2 1 9
direct
0.0000 0.0000 0.3346
0.0000 0.0000 0.6654
0.0000 0.0000 0.0000
0.5000 0.5000 0.0000
0.5000 0.5000 0.3308
0.5000 0.5000 0.6692
0.5000 0.0000 0.1634
0.5000 0.0000 0.5000
0.5000 0.0000 0.8366
0.0000 0.5000 0.1634
0.0000 0.5000 0.5000
0.0000 0.5000 0.8366
```

Computed properties:
total energy: -5.043 eV per atom
theoretical density: 10.63 Mg/m³

## InOsBr3 (PBE)

Data for InOsBr3 after structural relaxation.

POSCAR file:
```
InOsBr3
1.0
-1.0136 -4.6692 2.0100
4.0586 -1.9775 -2.5469
3.0610 1.0757 4.0426
Os Br In
1 3 1
direct
0.0000 0.0000 0.0000
0.0000 0.5000 0.0000
0.0000 0.0000 0.5000
0.5000 0.0000 0.0000
0.5000 0.5000 0.5000
```

Computed properties:
uncorrected formation energy: 228 meV/atom
energy above the lowest structure with this stoichiometry: 0.00 kcal/mol of atoms
theoretical density: 6.49 Mg/m³

## LaTaCr2 (PBE)

Data for LaTaCr2 after structural relaxation.

POSCAR file:
```
LaTaCr2
1.0
-2.3089 -4.2535 0.9343
0.8831 -4.7047 1.1756
-0.4761 -0.2968 5.7442
Cr La Ta
2 1 1
direct
0.9795 0.9795 0.1284
0.5205 0.5205 0.3716
0.7500 0.7500 0.7500
0.2500 0.2500 0.2500
```

Computed properties:
energy above the lowest structure with this stoichiometry: 4.55 kcal/mol of atoms
theoretical density: 8.46 Mg/m³